# 1
Entry from Alexandria via LeMat-Bulk: crystalline TlAgHg2Ge at its relaxed geometry (PBE).

Values from the calculation:
Formation energy ... 0.218 eV per atom

a b c (Å): 5.444 5.444 4.971
angles (deg): 90.00 90.00 90.00
Atoms (fractional coordinates):
Ag: 0.000 0.000 0.500
Tl: 0.500 0.500 0.500
Hg: 0.500 0.000 0.000
Hg: 0.000 0.500 0.000
Ge: 0.000 0.000 0.000

# 2
Entry from Alexandria via LeMat-Bulk: crystalline Ho2AgGe2 at its relaxed geometry (PBE).

Values from the calculation:
Formation energy ... -0.704 eV per atom

a b c (Å): 7.116 7.116 8.518
angles (deg): 90.00 90.00 90.00
Atoms (fractional coordinates):
Ho: 0.175 0.675 0.500
Ho: 0.175 0.675 0.000
Ho: 0.825 0.325 0.500
Ho: 0.825 0.325 0.000
Ho: 0.325 0.175 0.500
Ho: 0.325 0.175 0.000
Ho: 0.675 0.825 0.000
Ho: 0.675 0.825 0.500
Ge: 0.627 0.127 0.250
Ge: 0.873 0.627 0.750
Ge: 0.127 0.373 0.250
Ge: 0.127 0.373 0.750
Ge: 0.373 0.873 0.250
Ge: 0.873 0.627 0.250
Ge: 0.373 0.873 0.750
Ge: 0.627 0.127 0.750
Ag: 0.500 0.500 0.250
Ag: 0.000 0.000 0.250
Ag: 0.500 0.500 0.750
Ag: 0.000 0.000 0.750

# 3
Entry from Alexandria via LeMat-Bulk: crystalline HoAg3Ge3 at its relaxed geometry (PBE).

Values from the calculation:
Formation energy ... 0.422 eV per atom

a b c (Å): 7.067 7.067 7.067
angles (deg): 90.00 90.00 90.00
Atoms (fractional coordinates):
Ge: 0.000 0.500 0.750
Ge: 0.000 0.500 0.250
Ge: 0.250 0.000 0.500
Ge: 0.750 0.000 0.500
Ge: 0.500 0.750 0.000
Ge: 0.500 0.250 0.000
Ho: 0.500 0.500 0.500
Ho: 0.000 0.000 0.000
Ag: 0.250 0.500 0.000
Ag: 0.750 0.500 0.000
Ag: 0.500 0.000 0.750
Ag: 0.000 0.750 0.500
Ag: 0.500 0.000 0.250
Ag: 0.000 0.250 0.500

# 4
Entry from Alexandria via LeMat-Bulk: crystalline Ho12Ag5Ge3 at its relaxed geometry (PBE).

Values from the calculation:
Formation energy ... 0.038 eV per atom

a b c (Å): 14.688 14.688 14.688
angles (deg): 109.47 109.47 109.47
Atoms (fractional coordinates):
Ge: 0.875 0.750 0.125
Ge: 0.250 0.125 0.375
Ge: 0.750 0.375 0.125
Ge: 0.250 0.625 0.875
Ge: 0.125 0.875 0.750
Ge: 0.375 0.625 0.250
Ge: 0.625 0.250 0.375
Ge: 0.875 0.125 0.250
Ge: 0.750 0.875 0.625
Ge: 0.125 0.250 0.875
Ge: 0.375 0.750 0.625
Ge: 0.625 0.375 0.750
Ho: 0.775 0.333 0.906
Ho: 0.870 0.594 0.927
Ho: 0.906 0.073 0.630
Ho: 0.667 0.225 0.594
Ho: 0.833 0.906 0.275
Ho: 0.130 0.406 0.073
Ho: 0.073 0.167 0.443
Ho: 0.094 0.927 0.370
Ho: 0.557 0.333 0.927
Ho: 0.927 0.833 0.557
Ho: 0.406 0.130 0.573
Ho: 0.427 0.370 0.594
Ho: 0.594 0.725 0.667
Ho: 0.130 0.725 0.557
Ho: 0.667 0.443 0.573
Ho: 0.333 0.775 0.406
Ho: 0.370 0.427 0.094
Ho: 0.094 0.167 0.225
Ho: 0.943 0.573 0.167
Ho: 0.443 0.775 0.870
Ho: 0.333 0.557 0.427
Ho: 0.833 0.927 0.057
Ho: 0.943 0.370 0.275
Ho: 0.427 0.057 0.333
Ho: 0.775 0.443 0.370
Ho: 0.167 0.073 0.943
Ho: 0.906 0.833 0.775
Ho: 0.725 0.130 0.057
Ho: 0.573 0.630 0.406
Ho: 0.557 0.225 0.130
Ho: 0.573 0.943 0.667
Ho: 0.073 0.906 0.130
Ho: 0.927 0.094 0.870
Ho: 0.725 0.594 0.167
Ho: 0.370 0.943 0.775
Ho: 0.594 0.870 0.427
Ho: 0.443 0.667 0.073
Ho: 0.225 0.667 0.094
Ho: 0.630 0.057 0.225
Ho: 0.406 0.275 0.333
Ho: 0.275 0.870 0.943
Ho: 0.630 0.573 0.906
Ho: 0.870 0.275 0.443
Ho: 0.275 0.406 0.833
Ho: 0.167 0.094 0.725
Ho: 0.225 0.557 0.630
Ho: 0.057 0.427 0.833
Ho: 0.057 0.630 0.725
Ag: 0.125 0.375 0.250
Ag: 0.500 0.500 0.000
Ag: 0.750 0.125 0.875
Ag: 0.000 0.500 0.500
Ag: 0.750 0.625 0.375
Ag: 0.375 0.125 0.750
Ag: 0.500 0.000 0.000
Ag: 0.875 0.625 0.750
Ag: 0.250 0.375 0.625
Ag: 0.625 0.750 0.875
Ag: 0.250 0.875 0.125
Ag: 0.500 0.500 0.500
Ag: 0.000 0.000 0.500
Ag: 0.375 0.250 0.125
Ag: 0.500 0.000 0.500
Ag: 0.125 0.750 0.375
Ag: 0.000 0.500 0.000
Ag: 0.000 0.000 0.000
Ag: 0.625 0.875 0.250
Ag: 0.875 0.250 0.625

# 5
Entry from Alexandria via LeMat-Bulk: crystalline HoInAgGe at its relaxed geometry (PBE).

Values from the calculation:
Formation energy ... -0.232 eV per atom

a b c (Å): 4.990 4.990 4.990
angles (deg): 60.00 60.00 60.00
Atoms (fractional coordinates):
Ho: 0.000 0.000 0.000
Ag: 0.250 0.250 0.250
Ge: 0.750 0.750 0.750
In: 0.500 0.500 0.500

# 6
Entry from Alexandria via LeMat-Bulk: crystalline LaHoAgGe at its relaxed geometry (PBE).

Values from the calculation:
Formation energy ... -0.512 eV per atom

a b c (Å): 5.214 5.214 5.214
angles (deg): 60.00 60.00 60.00
Atoms (fractional coordinates):
Ge: 0.000 0.000 0.000
La: 0.250 0.250 0.250
Ag: 0.500 0.500 0.500
Ho: 0.750 0.750 0.750

# 7
Entry from Alexandria via LeMat-Bulk: crystalline LiHoAgGe at its relaxed geometry (PBE).

Values from the calculation:
Formation energy ... -0.445 eV per atom

a b c (Å): 4.819 4.819 4.819
angles (deg): 60.00 60.00 60.00
Atoms (fractional coordinates):
Ge: 0.250 0.250 0.250
Ag: 0.750 0.750 0.750
Ho: 0.000 0.000 0.000
Li: 0.500 0.500 0.500

# 8
Entry from Alexandria via LeMat-Bulk: crystalline HoLuAgGe at its relaxed geometry (PBE).

Values from the calculation:
Formation energy ... -0.505 eV per atom

a b c (Å): 5.019 5.019 5.019
angles (deg): 60.00 60.00 60.00
Atoms (fractional coordinates):
Ag: 0.750 0.750 0.750
Ge: 0.250 0.250 0.250
Ho: 0.500 0.500 0.500
Lu: 0.000 0.000 0.000

Repeat the sixth record exactly.
Entry from Alexandria via LeMat-Bulk: crystalline LaHoAgGe at its relaxed geometry (PBE).

Values from the calculation:
Formation energy ... -0.512 eV per atom

a b c (Å): 5.214 5.214 5.214
angles (deg): 60.00 60.00 60.00
Atoms (fractional coordinates):
Ge: 0.000 0.000 0.000
La: 0.250 0.250 0.250
Ag: 0.500 0.500 0.500
Ho: 0.750 0.750 0.750